No. 1
Here is a relaxed structure of PuCoB from Alexandria via LeMat-Bulk. Energies are from PBE.

**DFT formation energy**: -0.144 eV per atom
**Uncorrected energy**: -9.516 eV per atom
**ΔE to the lowest computed polymorph**: 0 kJ/mol of formula units

Lattice parameters (Å, degrees): 3.0247 5.0957 5.4506 94.89 106.11 90.00
Last column: magnetic moment on the atom in μB.
Atoms (fractional coordinates):
Co  0.5997  0.8755  0.1992  -0.09
Co  0.4003  0.1245  0.8008  -0.09
B  0.7733  0.0921  0.5467  -0.03
B  0.2267  0.9079  0.4533  -0.03
Pu  0.8762  0.6213  0.7529  4.84
Pu  0.1238  0.3787  0.2471  4.84



No. 2
Here is a relaxed structure of AlCrSb3 from Alexandria via LeMat-Bulk. Energies are from PBE.

**Uncorrected energy**: -4.617 eV per atom
**Formation energy from raw total energies**: 0.529 eV per atom
**ΔE to the lowest computed polymorph**: 0 kJ/mol of formula units

Lattice parameters (Å, degrees): 5.0746 5.0746 5.0746 90.00 90.00 90.00
Last column: magnetic moment on the atom in μB.
Atoms (fractional coordinates):
Cr  0.0000  0.0000  0.0000  1.45
Al  0.5000  0.5000  0.5000  0.00
Sb  0.5000  0.0000  0.0000  -0.11
Sb  0.0000  0.5000  0.0000  -0.08
Sb  0.0000  0.0000  0.5000  -0.06



No. 3
Here is a relaxed structure of KLiAsO3 from Alexandria via LeMat-Bulk. Energies are from PBE.

**Uncorrected energy**: -5.114 eV per atom
**Formation energy from raw total energies**: -1.358 eV per atom

Lattice parameters (Å, degrees): 3.1717 6.2637 8.1358 90.00 90.00 104.67
Atoms (fractional coordinates):
As  0.0000  0.0000  0.0000
As  0.0000  0.0000  0.5000
K  0.2766  0.5533  0.2500
K  0.7234  0.4467  0.7500
Li  0.5498  0.0996  0.2500
Li  0.4502  0.9004  0.7500
O  0.3930  0.7860  0.5373
O  0.6070  0.2140  0.4627
O  0.3930  0.7860  0.9627
O  0.0321  0.0642  0.7500
O  0.6070  0.2140  0.0373
O  0.9679  0.9358  0.2500



No. 4
Here is a relaxed structure of CoHIrBr from Alexandria via LeMat-Bulk. Energies are from PBE.

**Uncorrected energy**: -4.809 eV per atom
**ΔE to the lowest computed polymorph**: 36 kJ/mol of formula units

Lattice parameters (Å, degrees): 2.9097 3.6352 11.5175 90.00 90.00 90.00
Last column: magnetic moment on the atom in μB.
Atoms (fractional coordinates):
Br  0.5000  0.0000  0.3121  0.06
Br  0.5000  0.5000  0.8121  0.06
Co  0.0000  0.0000  0.4964  1.91
Co  0.0000  0.5000  0.9964  1.91
Ir  0.5000  0.0000  0.0942  0.69
Ir  0.5000  0.5000  0.5942  0.69
H  0.0000  0.0000  0.9976  0.00
H  0.0000  0.5000  0.4976  0.00



No. 5
Here is a relaxed structure of Ni4AgOs from Alexandria via LeMat-Bulk. Energies are from PBE.

**DFT formation energy**: 0.315 eV per atom
**Uncorrected energy**: -5.886 eV per atom

Lattice parameters (Å, degrees): 4.7443 4.7443 4.7443 60.00 60.00 60.00
Last column: magnetic moment on the atom in μB.
Atoms (fractional coordinates):
Os  0.7500  0.7500  0.7500  1.54
Ni  0.8744  0.3752  0.3752  0.72
Ni  0.3752  0.3752  0.8744  0.72
Ni  0.3752  0.3752  0.3752  0.72
Ni  0.3752  0.8744  0.3752  0.72
Ag  0.0000  0.0000  0.0000  0.04



No. 6
Here is a relaxed structure of Er3CuSn3 from Alexandria via LeMat-Bulk. Energies are from PBE.

**DFT formation energy**: -0.613 eV per atom
**Uncorrected energy**: -4.869 eV per atom

Lattice parameters (Å, degrees): 4.4406 5.9967 14.0961 83.83 80.94 68.27
Atoms (fractional coordinates):
Er  0.5952  0.7302  0.0794
Er  0.4715  0.6738  0.3833
Er  0.7371  0.7561  0.7696
Er  0.4048  0.2698  0.9206
Er  0.2629  0.2439  0.2304
Er  0.5285  0.3262  0.6167
Cu  0.2313  0.9243  0.6131
Cu  0.7687  0.0757  0.3869
Sn  0.1319  0.8120  0.9241
Sn  0.8681  0.1880  0.0759
Sn  0.8533  0.7476  0.5458
Sn  0.9795  0.8059  0.2351
Sn  0.1467  0.2524  0.4542
Sn  0.0205  0.1941  0.7649



No. 7
Here is a relaxed structure of Li2Mg3Sc2 from Alexandria via LeMat-Bulk. Energies are from PBE.

**DFT formation energy**: 0.004 eV per atom
**Uncorrected energy**: -3.035 eV per atom

Lattice parameters (Å, degrees): 4.5449 3.1614 11.0195 90.00 78.10 90.00
Atoms (fractional coordinates):
Li  0.2853  0.5000  0.4294
Li  0.7147  0.5000  0.5706
Mg  0.8469  0.0000  0.3061
Mg  0.0000  0.0000  0.0000
Mg  0.1531  0.0000  0.6939
Sc  0.5742  0.5000  0.8516
Sc  0.4258  0.5000  0.1484



No. 8
Here is a relaxed structure of Tb5HoMg6 from Alexandria via LeMat-Bulk. Energies are from PBE.

**DFT formation energy**: -0.084 eV per atom
**Uncorrected energy**: -3.192 eV per atom

Lattice parameters (Å, degrees): 5.3766 7.5643 8.4978 90.00 71.58 90.00
Atoms (fractional coordinates):
Mg  0.5000  0.7504  0.0000
Mg  0.8348  0.7505  0.3331
Mg  0.5000  0.2496  0.0000
Mg  0.1652  0.7505  0.6669
Mg  0.1652  0.2495  0.6669
Mg  0.8348  0.2495  0.3331
Tb  0.6652  0.0000  0.6678
Tb  0.6661  0.5000  0.6661
Tb  0.3339  0.5000  0.3339
Tb  0.3348  0.0000  0.3322
Tb  0.0000  0.5000  0.0000
Ho  0.0000  0.0000  0.0000